Material: CoGeAs
Method: DFT, PBE
State: optimized geometry

abc: 4.199 4.199 4.199
angles: 60.00 60.00 60.00
Fractional coordinates of all 3 atoms:
As  0.000  0.000  0.000
Co  0.250  0.250  0.250
Ge  0.750  0.750  0.750

- Relative energy among the computed polymorphs: 0.622 eV/atom
- E: -4.96 eV/atom
- Crystal system: cubic

---

Material: HoEr3Al2C2
Method: DFT, PBE
State: optimized geometry

abc: 3.528 3.528 15.818
angles: 90.00 90.00 120.00
Fractional coordinates of all 8 atoms:
Al  0.000  0.000  0.250
Al  0.333  0.667  0.749
C  0.667  0.333  0.000
C  0.667  0.333  0.500
Er  0.333  0.667  0.086
Er  0.333  0.667  0.415
Er  0.000  0.000  0.585
Ho  0.000  0.000  0.915

- E: -5.79 eV/atom
- Crystal system: trigonal

---

Material: ThMg
Method: DFT, PBE
State: optimized geometry

abc: 17.643 7.014 5.516
angles: 90.00 90.00 90.00
Fractional coordinates of all 24 atoms:
Mg  0.329  0.023  0.000
Mg  0.168  0.245  0.000
Mg  0.825  0.269  0.000
Mg  0.325  0.481  0.000
Mg  0.668  0.505  0.000
Mg  0.829  0.727  0.000
Mg  0.115  0.023  0.500
Mg  0.276  0.245  0.500
Mg  0.620  0.269  0.500
Mg  0.120  0.481  0.500
Mg  0.776  0.505  0.500
Mg  0.615  0.727  0.500
Th  0.987  0.009  0.000
Th  0.501  0.266  0.000
Th  0.001  0.484  0.000
Th  0.487  0.741  0.000
Th  0.165  0.752  0.000
Th  0.665  0.998  0.000
Th  0.457  0.009  0.500
Th  0.944  0.266  0.500
Th  0.444  0.484  0.500
Th  0.957  0.741  0.500
Th  0.280  0.752  0.500
Th  0.780  0.998  0.500

- E: -4.37 eV/atom
- Crystal system: orthorhombic

---

Material: TlAgTeOsS2
Method: DFT, PBE
State: optimized geometry

abc: 8.064 8.064 10.334
angles: 90.00 90.00 154.58
Fractional coordinates of all 12 atoms:
Ag  0.634  0.366  0.250
Ag  0.366  0.634  0.750
Os  0.000  0.000  0.000
Os  0.000  0.000  0.500
S  0.602  0.398  0.018
S  0.602  0.398  0.482
S  0.398  0.602  0.518
S  0.398  0.602  0.982
Te  0.955  0.045  0.250
Te  0.045  0.955  0.750
Tl  0.286  0.714  0.250
Tl  0.714  0.286  0.750

- E: -4.62 eV/atom
- Crystal system: orthorhombic

---

Material: LaCoGe2
Method: DFT, PBE
State: optimized geometry

abc: 4.272 4.323 8.684
angles: 75.59 90.00 90.00
Fractional coordinates of all 8 atoms:
Co  0.750  0.317  0.367
Co  0.250  0.683  0.633
Ge  0.750  0.454  0.091
Ge  0.250  0.250  0.500
Ge  0.750  0.750  0.500
Ge  0.250  0.546  0.909
La  0.250  0.891  0.217
La  0.750  0.109  0.783

- E: -6.01 eV/atom
- Crystal system: orthorhombic

---

Material: K9Au2
Method: DFT, PBE
State: optimized geometry

abc: 9.091 9.311 13.496
angles: 90.00 96.57 90.00
Fractional coordinates of all 22 atoms:
Au  0.735  0.858  0.159
Au  0.272  0.359  0.345
Au  0.735  0.142  0.659
Au  0.272  0.641  0.845
K  0.608  0.567  0.005
K  0.006  0.750  0.005
K  0.217  0.369  0.050
K  0.581  0.185  0.235
K  0.064  0.054  0.239
K  0.940  0.550  0.266
K  0.424  0.686  0.267
K  0.790  0.873  0.451
K  0.400  0.068  0.497
K  0.608  0.433  0.505
K  0.006  0.250  0.505
K  0.217  0.631  0.550
K  0.581  0.815  0.735
K  0.064  0.946  0.739
K  0.940  0.450  0.766
K  0.424  0.314  0.767
K  0.790  0.127  0.951
K  0.400  0.932  0.997

- E: -1.61 eV/atom
- Crystal system: monoclinic

---

What is the E in the first record?
-4.96 eV/atom

---

Please write out number 3 again, unchanged.
Material: ThMg
Method: DFT, PBE
State: optimized geometry

abc: 17.643 7.014 5.516
angles: 90.00 90.00 90.00
Fractional coordinates of all 24 atoms:
Mg  0.329  0.023  0.000
Mg  0.168  0.245  0.000
Mg  0.825  0.269  0.000
Mg  0.325  0.481  0.000
Mg  0.668  0.505  0.000
Mg  0.829  0.727  0.000
Mg  0.115  0.023  0.500
Mg  0.276  0.245  0.500
Mg  0.620  0.269  0.500
Mg  0.120  0.481  0.500
Mg  0.776  0.505  0.500
Mg  0.615  0.727  0.500
Th  0.987  0.009  0.000
Th  0.501  0.266  0.000
Th  0.001  0.484  0.000
Th  0.487  0.741  0.000
Th  0.165  0.752  0.000
Th  0.665  0.998  0.000
Th  0.457  0.009  0.500
Th  0.944  0.266  0.500
Th  0.444  0.484  0.500
Th  0.957  0.741  0.500
Th  0.280  0.752  0.500
Th  0.780  0.998  0.500

- E: -4.37 eV/atom
- Crystal system: orthorhombic